No. 1
Computed, not measured: a relaxed LaSc2Hg crystal at the PBE-GGA level of DFT.

a = 4.688 Å, b = 4.703 Å, c = 4.703 Å
α = 90.00°, β = 90.00°, γ = 90.00°
Site moments in Bohr magnetons follow the coordinates.
Sites, in units of the cell vectors:
Hg1 0.500 0.500 0.000  -0.01
La1 0.500 0.000 0.500  0.14
Sc1 0.000 0.000 0.000  0.22
Sc2 0.000 0.500 0.500  0.22

Results
Crystal system ... tetragonal
Calculated density ... 6.9 g cm⁻³
Formation energy from the elements ... -0.124 eV/atom
Total DFT energy (no corrections) ... -18.4 eV/cell

=====

No. 2
Computed, not measured: a relaxed CoAs2Br crystal at the PBE-GGA level of DFT.

a = 3.317 Å, b = 5.247 Å, c = 5.247 Å
α = 54.41°, β = 90.00°, γ = 90.00°
Sites, in units of the cell vectors:
As1 0.000 0.934 0.934
As2 0.000 0.566 0.566
Br1 0.500 0.250 0.250
Co1 0.500 0.750 0.750

Results
Formation energy without anion corrections ... -0.014 eV/atom
Crystal system ... orthorhombic
Calculated density ... 6.5 g cm⁻³
Total DFT energy (no corrections) ... -18.1 eV/cell

=====

No. 3
Computed, not measured: a relaxed K2ZrAg crystal at the PBE-GGA level of DFT.

a = 12.585 Å, b = 12.585 Å, c = 12.585 Å
α = 16.14°, β = 16.14°, γ = 16.14°
Site moments in Bohr magnetons follow the coordinates.
Sites, in units of the cell vectors:
Ag1 0.760 0.760 0.760  0.00
K1 0.017 0.017 0.017  0.00
K2 0.240 0.240 0.240  0.00
Zr1 0.483 0.483 0.483  0.21

Results
Crystal system ... trigonal
Calculated density ... 3.4 g cm⁻³
Formation energy from the elements ... 0.520 eV/atom
Total DFT energy (no corrections) ... -11.5 eV/cell

=====

No. 4
Computed, not measured: a relaxed CsThAs2 crystal at the PBE-GGA level of DFT.

a = 4.465 Å, b = 4.465 Å, c = 8.829 Å
α = 75.35°, β = 75.35°, γ = 60.00°
Sites, in units of the cell vectors:
Cs1 0.500 0.500 0.500
As1 0.274 0.274 0.178
As2 0.726 0.726 0.822
Th1 0.000 0.000 0.000

Results
Crystal system ... trigonal
Calculated density ... 5.9 g cm⁻³
Formation energy from the elements ... -0.760 eV/atom
Total DFT energy (no corrections) ... -20.6 eV/cell

=====

No. 5
Computed, not measured: a relaxed LiInIO2 crystal at the PBE-GGA level of DFT.

a = 4.171 Å, b = 5.081 Å, c = 4.171 Å
α = 90.00°, β = 90.00°, γ = 90.00°
Site moments in Bohr magnetons follow the coordinates.
Sites, in units of the cell vectors:
I1 0.000 0.500 0.000  0.11
Li1 0.000 0.000 0.000  0.00
O1 0.000 0.000 0.500  0.17
O2 0.500 0.000 0.000  0.13
In1 0.500 0.500 0.500  0.01

Results
Formation energy without anion corrections ... 0.091 eV/atom
Crystal system ... tetragonal
Calculated density ... 5.3 g cm⁻³
Total DFT energy (no corrections) ... -15.7 eV/cell

=====

No. 6
Computed, not measured: a relaxed Na2LiGaI5 crystal at the PBE-GGA level of DFT.

a = 4.880 Å, b = 11.275 Å, c = 13.746 Å
α = 90.00°, β = 90.00°, γ = 102.50°
Sites, in units of the cell vectors:
Na1 0.869 0.737 0.844
Na2 0.168 0.335 0.665
Na3 0.131 0.263 0.344
Na4 0.832 0.665 0.165
Li1 0.799 0.598 0.562
Li2 0.201 0.402 0.062
Ga1 0.562 0.124 0.933
Ga2 0.438 0.876 0.433
I1 0.323 0.646 0.002
I2 0.667 0.334 0.823
I3 0.471 0.943 0.799
I4 0.308 0.617 0.671
I5 0.938 0.876 0.525
I6 0.677 0.354 0.502
I7 0.333 0.666 0.323
I8 0.529 0.057 0.299
I9 0.692 0.383 0.171
I10 0.062 0.124 0.025

Results
Formation energy without anion corrections ... -0.884 eV/atom
Crystal system ... orthorhombic
Calculated density ... 3.4 g cm⁻³
Total DFT energy (no corrections) ... -46.6 eV/cell

=====

> Look up the total DFT energy (no corrections) of the third one.

-11.5 eV/cell